VASP calculation (GGA-PBE) on crystalline FeNiPCl2 at its relaxed geometry.

Cell lengths 4.710, 4.710, 4.315 Å; angles 90.00, 90.00, 90.00 degrees
Site moments in Bohr magnetons follow the coordinates.
Atoms (fractional coordinates):
Ni 0.500 0.500 0.500  0.74
Fe 0.000 0.000 0.000  1.71
P 0.000 0.000 0.500  -0.16
Cl 0.000 0.500 0.000  0.01
Cl 0.500 0.000 0.000  0.01

Summary:
- offset from the most stable computed form (meV per atom) = 79
- theoretical density (g/cm³) = 3.755
- space group = P4/mmm, No. 123
- spin magnetization (μB per formula unit) = 2.24